Entry from Alexandria via LeMat-Bulk: a relaxed structure of Hf8CN4 (PBE-GGA).

Unit cell a=6.4407 b=6.4407 c=15.8011 alpha=90.00 beta=90.00 gamma=120.00
Space group R-3m (No. 166, hexagonal axes)
One atom of each set of equivalent atoms:
Hf1 0.0000 0.0000 0.2460 x6
Hf2 0.0043 0.5021 0.7525 x18
C1 0.0000 0.0000 0.0000 x3
N1 0.0000 0.0000 0.5000 x3
N2 0.0000 0.5000 0.5000 x9

Properties
D(E_F)	19.3	states/eV/cell
magnetic moment	0.00	μB per atom
ΔE_f (raw)	-16.49	eV/f.u.
crystal system	trigonal